# Ho3MgIn2

Ho3MgIn2 after structural relaxation (PBE-GGA, the Alexandria database).

POSCAR file:
```
Ho3MgIn2
1.0
5.291 0.000 0.000
-2.646 4.583 0.000
0.000 0.000 12.945
Ho Mg In
6 2 4
Cartesian
0.000 0.000 3.215
0.000 0.000 9.729
0.000 3.055 5.423
0.000 3.055 11.901
2.646 1.527 1.044
2.646 1.527 7.522
0.000 3.055 8.653
2.646 1.527 4.292
0.000 0.000 0.000
0.000 0.000 6.472
0.000 3.055 2.273
2.646 1.527 10.671
```

Output
**Energy**: -3.830 eV/atom
**Relative energy among the computed polymorphs**: 0.000 eV per atom


# HoMg2In4

HoMg2In4 after structural relaxation (PBE-GGA, the Alexandria database).

POSCAR file:
```
HoMg2In4
1.0
-3.305 3.305 4.239
3.305 -3.305 4.239
3.305 3.305 -4.239
Ho Mg In
1 2 4
Cartesian
0.000 0.000 0.000
3.305 0.000 0.000
0.000 3.305 0.000
1.653 1.653 -2.120
1.653 -1.653 2.120
-1.653 1.653 2.120
1.653 1.653 2.120
```

Output
**Energy**: -2.864 eV/atom


# HoMg3In3

HoMg3In3 after structural relaxation (PBE-GGA, the Alexandria database).

POSCAR file:
```
HoMg3In3
1.0
7.737 0.000 0.000
0.000 7.737 0.000
0.000 0.000 7.737
Ho Mg In
2 6 6
Cartesian
0.000 0.000 0.000
3.869 3.869 3.869
0.000 1.934 3.869
0.000 5.803 3.869
1.934 3.869 0.000
3.869 0.000 1.934
3.869 0.000 5.803
5.803 3.869 0.000
0.000 3.869 1.934
0.000 3.869 5.803
1.934 0.000 3.869
3.869 1.934 0.000
3.869 5.803 0.000
5.803 0.000 3.869
```

Output
**Energy**: -1.979 eV/atom


# Ho9MgIn2

Ho9MgIn2 after structural relaxation (PBE-GGA, the Alexandria database).

POSCAR file:
```
Ho9MgIn2
1.0
4.843 0.000 0.000
0.000 4.843 0.000
0.000 0.000 14.540
Ho Mg In
9 1 2
Cartesian
0.000 0.000 0.000
0.000 0.000 4.850
0.000 0.000 9.690
0.000 2.422 2.452
0.000 2.422 7.270
0.000 2.422 12.088
2.422 0.000 2.452
2.422 0.000 7.270
2.422 0.000 12.088
2.422 2.422 0.000
2.422 2.422 4.872
2.422 2.422 9.668
```

Output
**Energy**: -4.188 eV/atom


# Ho3MgIn2

Ho3MgIn2 after structural relaxation (PBE-GGA, the Alexandria database).

POSCAR file:
```
Ho3MgIn2
1.0
3.737 0.000 0.000
0.000 3.737 0.000
0.000 0.000 11.297
Ho Mg In
3 1 2
Cartesian
0.000 0.000 0.000
0.000 0.000 3.806
0.000 0.000 7.491
1.868 1.868 5.648
1.868 1.868 1.952
1.868 1.868 9.345
```

Output
**Energy**: -3.813 eV/atom
**Relative energy among the computed polymorphs**: 0.017 eV per atom


# Ho2MgIn

Ho2MgIn after structural relaxation (PBE-GGA, the Alexandria database).

POSCAR file:
```
Ho2MgIn
1.0
5.246 0.000 0.000
0.000 5.246 0.000
0.000 0.000 3.824
Ho Mg In
2 1 1
Cartesian
0.000 2.623 0.000
2.623 0.000 0.000
0.000 0.000 1.912
2.623 2.623 1.912
```

Output
**Energy**: -3.671 eV/atom
**Relative energy among the computed polymorphs**: 0.014 eV per atom


no.,total magnetization (μB/cell),energy of formation from the pure elements (meV/atom)
1,0.0,-363
2,0.0,-190
3,0.0,532
4,0.0,-166
5,0.0,-346
6,0.0,-299